No. 1
First-principles (PBE) data for Pm2Nd12Sm5 after structural relaxation, as listed in the Alexandria database.

Cell and atoms, written as CIF:
```
data_Pm2Nd12Sm5
_space_group_name_H-M_alt 'P 1'
_space_group_IT_number 1
_cell_length_a 10.859
_cell_length_b 10.859
_cell_length_c 6.302
_cell_angle_alpha 100.71
_cell_angle_beta 100.71
_cell_angle_gamma 66.24
loop_
_space_group_symop_operation_xyz
'x,y,z'
loop_
_atom_site_label
_atom_site_fract_x
_atom_site_fract_y
_atom_site_fract_z
Pm1 0.227 0.773 0.000
Pm2 0.773 0.227 0.000
Nd1 0.059 0.545 0.799
Nd2 0.122 0.122 0.995
Nd3 0.150 0.644 0.384
Nd4 0.356 0.850 0.616
Nd5 0.446 0.446 0.726
Nd6 0.455 0.941 0.201
Nd7 0.545 0.059 0.799
Nd8 0.554 0.554 0.274
Nd9 0.644 0.150 0.384
Nd10 0.850 0.356 0.616
Nd11 0.878 0.878 0.005
Nd12 0.941 0.455 0.201
Sm1 0.000 0.000 0.500
Sm2 0.214 0.214 0.548
Sm3 0.323 0.323 0.143
Sm4 0.677 0.677 0.857
Sm5 0.786 0.786 0.452
```

Size of the total moment: 0.000 μB/cell
E_tot: -88.6 eV for the cell shown
Energy of formation: 168 kJ/mol of formula units
Energy relative to the lowest polymorph listed for this composition: 0 meV per atom


No. 2
First-principles (PBE) data for CaP2IrO after structural relaxation, as listed in the Alexandria database.

Cell and atoms, written as CIF:
```
data_CaP2IrO
_space_group_name_H-M_alt 'P 1'
_space_group_IT_number 1
_cell_length_a 5.128
_cell_length_b 5.128
_cell_length_c 3.848
_cell_angle_alpha 90.00
_cell_angle_beta 90.00
_cell_angle_gamma 90.00
loop_
_space_group_symop_operation_xyz
'x,y,z'
loop_
_atom_site_label
_atom_site_fract_x
_atom_site_fract_y
_atom_site_fract_z
Ca1 0.000 0.000 0.000
P1 0.000 0.500 0.000
P2 0.500 0.000 0.000
Ir1 0.500 0.500 0.500
O1 0.000 0.000 0.500
```

Size of the total moment: 1.369 μB/cell
E_tot: -20.6 eV for the cell shown
Energy relative to the lowest polymorph listed for this composition: 1389 meV per atom


No. 3
First-principles (PBE) data for Al2ZnGa6 after structural relaxation, as listed in the Alexandria database.

Cell and atoms, written as CIF:
```
data_Al2ZnGa6
_space_group_name_H-M_alt 'P 1'
_space_group_IT_number 1
_cell_length_a 2.931
_cell_length_b 2.931
_cell_length_c 21.729
_cell_angle_alpha 90.00
_cell_angle_beta 90.00
_cell_angle_gamma 120.00
loop_
_space_group_symop_operation_xyz
'x,y,z'
loop_
_atom_site_label
_atom_site_fract_x
_atom_site_fract_y
_atom_site_fract_z
Al1 0.000 0.000 0.169
Al2 0.000 0.000 0.831
Zn1 0.667 0.333 0.500
Ga1 0.000 0.000 0.394
Ga2 0.000 0.000 0.606
Ga3 0.667 0.333 0.060
Ga4 0.667 0.333 0.279
Ga5 0.667 0.333 0.721
Ga6 0.667 0.333 0.940
```

Size of the total moment: 0.000 μB/cell
E_tot: -26.6 eV for the cell shown
Energy of formation: 27 kJ/mol of formula units
Energy relative to the lowest polymorph listed for this composition: 0 meV per atom


No. 4
First-principles (PBE) data for BaNb3S after structural relaxation, as listed in the Alexandria database.

Cell and atoms, written as CIF:
```
data_BaNb3S
_space_group_name_H-M_alt 'P 1'
_space_group_IT_number 1
_cell_length_a 4.828
_cell_length_b 4.828
_cell_length_c 4.828
_cell_angle_alpha 90.00
_cell_angle_beta 90.00
_cell_angle_gamma 90.00
loop_
_space_group_symop_operation_xyz
'x,y,z'
loop_
_atom_site_label
_atom_site_fract_x
_atom_site_fract_y
_atom_site_fract_z
Ba1 0.000 0.000 0.000
Nb1 0.000 0.500 0.500
Nb2 0.500 0.000 0.500
Nb3 0.500 0.500 0.000
S1 0.500 0.500 0.500
```

Size of the total moment: 0.000 μB/cell
E_tot: -34.2 eV for the cell shown
Energy relative to the lowest polymorph listed for this composition: 0 meV per atom


No. 5
First-principles (PBE) data for KNi2Ru after structural relaxation, as listed in the Alexandria database.

Cell and atoms, written as CIF:
```
data_KNi2Ru
_space_group_name_H-M_alt 'P 1'
_space_group_IT_number 1
_cell_length_a 4.852
_cell_length_b 4.852
_cell_length_c 2.621
_cell_angle_alpha 90.00
_cell_angle_beta 90.00
_cell_angle_gamma 92.59
loop_
_space_group_symop_operation_xyz
'x,y,z'
loop_
_atom_site_label
_atom_site_fract_x
_atom_site_fract_y
_atom_site_fract_z
K1 0.000 0.000 0.000
Ni1 0.000 0.500 0.500
Ni2 0.500 0.000 0.500
Ru1 0.500 0.500 0.000
```

Size of the total moment: 1.592 μB/cell
E_tot: -18.3 eV for the cell shown
Energy of formation: 350 kJ/mol of formula units
Energy relative to the lowest polymorph listed for this composition: 399 meV per atom


No. 6
First-principles (PBE) data for Mg2Si5Ni3 after structural relaxation, as listed in the Alexandria database.

Cell and atoms, written as CIF:
```
data_Mg2Si5Ni3
_space_group_name_H-M_alt 'P 1'
_space_group_IT_number 1
_cell_length_a 11.370
_cell_length_b 11.370
_cell_length_c 6.443
_cell_angle_alpha 90.00
_cell_angle_beta 90.00
_cell_angle_gamma 160.64
loop_
_space_group_symop_operation_xyz
'x,y,z'
loop_
_atom_site_label
_atom_site_fract_x
_atom_site_fract_y
_atom_site_fract_z
Mg1 0.024 0.976 0.500
Mg2 0.325 0.675 0.446
Mg3 0.675 0.325 0.946
Mg4 0.976 0.024 0.000
Si1 0.100 0.900 0.114
Si2 0.208 0.792 0.642
Si3 0.209 0.791 0.237
Si4 0.380 0.620 0.009
Si5 0.448 0.552 0.338
Si6 0.552 0.448 0.838
Si7 0.620 0.380 0.509
Si8 0.791 0.209 0.737
Si9 0.792 0.208 0.142
Si10 0.900 0.100 0.614
Ni1 0.111 0.889 0.748
Ni2 0.274 0.726 0.940
Ni3 0.448 0.552 0.716
Ni4 0.552 0.448 0.216
Ni5 0.726 0.274 0.440
Ni6 0.889 0.111 0.248
```

Size of the total moment: 0.000 μB/cell
E_tot: -101.5 eV for the cell shown


No. 7
First-principles (PBE) data for TiNiCl2 after structural relaxation, as listed in the Alexandria database.

Cell and atoms, written as CIF:
```
data_TiNiCl2
_space_group_name_H-M_alt 'P 1'
_space_group_IT_number 1
_cell_length_a 6.427
_cell_length_b 6.427
_cell_length_c 6.427
_cell_angle_alpha 130.00
_cell_angle_beta 130.00
_cell_angle_gamma 73.41
loop_
_space_group_symop_operation_xyz
'x,y,z'
loop_
_atom_site_label
_atom_site_fract_x
_atom_site_fract_y
_atom_site_fract_z
Ti1 0.000 0.000 0.000
Ti2 0.750 0.250 0.500
Ni1 0.250 0.750 0.500
Ni2 0.500 0.500 0.000
Cl1 0.151 0.625 0.026
Cl2 0.375 0.401 0.526
Cl3 0.599 0.125 0.974
Cl4 0.875 0.849 0.474
```

Size of the total moment: 3.991 μB/cell
E_tot: -36.8 eV for the cell shown


No. 8
First-principles (PBE) data for Pm3Pr4Ga4 after structural relaxation, as listed in the Alexandria database.

Cell and atoms, written as CIF:
```
data_Pm3Pr4Ga4
_space_group_name_H-M_alt 'P 1'
_space_group_IT_number 1
_cell_length_a 10.575
_cell_length_b 10.575
_cell_length_c 10.575
_cell_angle_alpha 160.06
_cell_angle_beta 128.31
_cell_angle_gamma 55.95
loop_
_space_group_symop_operation_xyz
'x,y,z'
loop_
_atom_site_label
_atom_site_fract_x
_atom_site_fract_y
_atom_site_fract_z
Pm1 0.000 0.000 0.000
Pm2 0.406 0.906 0.500
Pm3 0.594 0.094 0.500
Pr1 0.010 0.333 0.678
Pr2 0.345 0.667 0.678
Pr3 0.655 0.333 0.322
Pr4 0.990 0.667 0.322
Ga1 0.276 0.276 0.000
Ga2 0.276 0.500 0.776
Ga3 0.724 0.500 0.224
Ga4 0.724 0.724 0.000
```

Size of the total moment: 0.000 μB/cell
E_tot: -49.9 eV for the cell shown
Energy of formation: -425 kJ/mol of formula units


No. 9
First-principles (PBE) data for CrFe2Se after structural relaxation, as listed in the Alexandria database.

Cell and atoms, written as CIF:
```
data_CrFe2Se
_space_group_name_H-M_alt 'P 1'
_space_group_IT_number 1
_cell_length_a 4.121
_cell_length_b 4.121
_cell_length_c 4.121
_cell_angle_alpha 60.00
_cell_angle_beta 60.00
_cell_angle_gamma 60.00
loop_
_space_group_symop_operation_xyz
'x,y,z'
loop_
_atom_site_label
_atom_site_fract_x
_atom_site_fract_y
_atom_site_fract_z
Cr1 0.000 0.000 0.000
Fe1 0.500 0.500 0.500
Fe2 0.750 0.750 0.750
Se1 0.250 0.250 0.250
```

Size of the total moment: 2.970 μB/cell
E_tot: -28.8 eV for the cell shown
Energy relative to the lowest polymorph listed for this composition: 110 meV per atom


No. 10
First-principles (PBE) data for HfAg2I after structural relaxation, as listed in the Alexandria database.

Cell and atoms, written as CIF:
```
data_HfAg2I
_space_group_name_H-M_alt 'P 1'
_space_group_IT_number 1
_cell_length_a 6.892
_cell_length_b 3.647
_cell_length_c 8.102
_cell_angle_alpha 90.00
_cell_angle_beta 100.20
_cell_angle_gamma 90.00
loop_
_space_group_symop_operation_xyz
'x,y,z'
loop_
_atom_site_label
_atom_site_fract_x
_atom_site_fract_y
_atom_site_fract_z
Hf1 0.000 0.000 0.000
Hf2 0.385 0.500 0.017
Ag1 0.000 0.500 0.288
Ag2 0.312 0.000 0.288
Ag3 0.610 0.500 0.427
Ag4 0.689 0.000 0.185
I1 0.228 0.000 0.731
I2 0.722 0.500 0.789
```

Size of the total moment: 0.000 μB/cell
E_tot: -34.7 eV for the cell shown
Energy relative to the lowest polymorph listed for this composition: 30 meV per atom


No. 11
First-principles (PBE) data for Ga2SeO after structural relaxation, as listed in the Alexandria database.

Cell and atoms, written as CIF:
```
data_Ga2SeO
_space_group_name_H-M_alt 'P 1'
_space_group_IT_number 1
_cell_length_a 6.864
_cell_length_b 6.864
_cell_length_c 6.864
_cell_angle_alpha 135.68
_cell_angle_beta 135.68
_cell_angle_gamma 64.48
loop_
_space_group_symop_operation_xyz
'x,y,z'
loop_
_atom_site_label
_atom_site_fract_x
_atom_site_fract_y
_atom_site_fract_z
Ga1 0.032 0.625 0.907
Ga2 0.375 0.282 0.407
Ga3 0.718 0.125 0.093
Ga4 0.875 0.968 0.593
Se1 0.250 0.750 0.500
Se2 0.500 0.500 0.000
O1 0.000 0.000 0.000
O2 0.750 0.250 0.500
```

Size of the total moment: 0.000 μB/cell
E_tot: -34.0 eV for the cell shown
Energy relative to the lowest polymorph listed for this composition: 0 meV per atom


No. 12
First-principles (PBE) data for PmErTlIr after structural relaxation, as listed in the Alexandria database.

Cell and atoms, written as CIF:
```
data_PmErTlIr
_space_group_name_H-M_alt 'P 1'
_space_group_IT_number 1
_cell_length_a 5.145
_cell_length_b 5.145
_cell_length_c 5.145
_cell_angle_alpha 60.00
_cell_angle_beta 60.00
_cell_angle_gamma 60.00
loop_
_space_group_symop_operation_xyz
'x,y,z'
loop_
_atom_site_label
_atom_site_fract_x
_atom_site_fract_y
_atom_site_fract_z
Pm1 0.000 0.000 0.000
Er1 0.500 0.500 0.500
Tl1 0.750 0.750 0.750
Ir1 0.250 0.250 0.250
```

Size of the total moment: 0.000 μB/cell
E_tot: -22.3 eV for the cell shown
Energy of formation: -168 kJ/mol of formula units
Energy relative to the lowest polymorph listed for this composition: 141 meV per atom


- Look up the size of the total moment of the third one.
  0.000 μB/cell


- Number 12 is which compound?
  PmErTlIr


- The highest size of the total moment belongs to which entry?
  TiNiCl2